Entry 1:
A plane-wave DFT calculation with GGA-PBE was carried out for a relaxed Ho4ZnGa2 crystal.

Summary:
Energy relative to the elements in eV/atom: -0.28
Energy relative to the lowest polymorph listed for this composition in kJ per mole of atoms: 10.7
M_tot in μB per formula unit: 0.0

a b c (Å): 8.990 8.990 8.990
angles (deg): 32.04 32.04 32.04
Positions (direct):
Ho1 0.125 0.125 0.125
Ho2 0.290 0.290 0.290
Ho3 0.710 0.710 0.710
Ho4 0.875 0.875 0.875
Zn1 0.500 0.500 0.500
Ga1 0.405 0.405 0.405
Ga2 0.595 0.595 0.595



Entry 2:
A plane-wave DFT calculation with GGA-PBE was carried out for a relaxed Ho2ZnGa3 crystal.

Summary:
Energy relative to the elements in eV/atom: -0.59
Energy relative to the lowest polymorph listed for this composition in kJ per mole of atoms: 0.5
M_tot in μB per formula unit: 0.0

a b c (Å): 3.601 4.384 7.609
angles (deg): 90.00 90.00 90.00
Positions (direct):
Ho1 0.000 0.000 0.000
Ho2 0.000 0.500 0.495
Zn1 0.500 0.500 0.828
Ga1 0.500 0.000 0.333
Ga2 0.500 0.000 0.669
Ga3 0.500 0.500 0.158



Entry 3:
A plane-wave DFT calculation with GGA-PBE was carried out for a relaxed HoZn2Ga3 crystal.

Summary:
Energy relative to the elements in eV/atom: -0.30
M_tot in μB per formula unit: 0.0

a b c (Å): 8.130 8.130 6.650
angles (deg): 100.93 100.93 30.57
Positions (direct):
Ho1 0.114 0.114 0.180
Ho2 0.886 0.886 0.820
Zn1 0.236 0.236 0.648
Zn2 0.465 0.465 0.150
Zn3 0.535 0.535 0.850
Zn4 0.764 0.764 0.352
Ga1 0.062 0.062 0.665
Ga2 0.296 0.296 0.064
Ga3 0.380 0.380 0.503
Ga4 0.620 0.620 0.497
Ga5 0.704 0.704 0.936
Ga6 0.938 0.938 0.335



Entry 4:
A plane-wave DFT calculation with GGA-PBE was carried out for a relaxed HoZn2Ga crystal.

Summary:
Energy relative to the elements in eV/atom: -0.43
M_tot in μB per formula unit: 0.0

a b c (Å): 8.320 8.320 8.932
angles (deg): 90.00 90.00 150.76
Positions (direct):
Ho1 0.000 0.000 0.000
Ho2 0.000 0.000 0.500
Ho3 0.200 0.800 0.750
Ho4 0.800 0.200 0.250
Zn1 0.191 0.809 0.106
Zn2 0.191 0.809 0.394
Zn3 0.398 0.602 0.750
Zn4 0.451 0.549 0.250
Zn5 0.549 0.451 0.750
Zn6 0.602 0.398 0.250
Zn7 0.809 0.191 0.606
Zn8 0.809 0.191 0.894
Ga1 0.356 0.644 0.027
Ga2 0.356 0.644 0.473
Ga3 0.644 0.356 0.527
Ga4 0.644 0.356 0.973



Entry 5:
A plane-wave DFT calculation with GGA-PBE was carried out for a relaxed HoZnGa4 crystal.

Summary:
Energy relative to the elements in eV/atom: -0.32
Energy relative to the lowest polymorph listed for this composition in kJ per mole of atoms: 0.0
M_tot in μB per formula unit: 0.0

a b c (Å): 10.448 4.226 6.523
angles (deg): 90.00 128.46 90.00
Positions (direct):
Ho1 0.000 0.000 0.000
Ho2 0.500 0.500 0.000
Zn1 0.000 0.000 0.500
Zn2 0.500 0.500 0.500
Ga1 0.161 0.500 0.451
Ga2 0.162 0.500 0.872
Ga3 0.338 0.000 0.128
Ga4 0.339 0.000 0.549
Ga5 0.661 0.000 0.451
Ga6 0.662 0.000 0.872
Ga7 0.838 0.500 0.128
Ga8 0.839 0.500 0.549



Entry 6:
A plane-wave DFT calculation with GGA-PBE was carried out for a relaxed Ho4Zn3Ga16 crystal.

Summary:
Energy relative to the elements in eV/atom: -0.32
M_tot in μB per formula unit: 0.0

a b c (Å): 6.246 6.246 11.283
angles (deg): 90.00 90.00 90.00
Positions (direct):
Ho1 0.000 0.500 0.187
Ho2 0.000 0.500 0.813
Ho3 0.500 0.000 0.187
Ho4 0.500 0.000 0.813
Zn1 0.000 0.000 0.000
Zn2 0.000 0.500 0.500
Zn3 0.500 0.000 0.500
Ga1 0.000 0.000 0.237
Ga2 0.000 0.000 0.763
Ga3 0.258 0.258 0.376
Ga4 0.258 0.258 0.624
Ga5 0.258 0.742 0.376
Ga6 0.258 0.742 0.624
Ga7 0.290 0.290 0.000
Ga8 0.290 0.710 0.000
Ga9 0.500 0.500 0.196
Ga10 0.500 0.500 0.804
Ga11 0.710 0.290 0.000
Ga12 0.710 0.710 0.000
Ga13 0.742 0.258 0.376
Ga14 0.742 0.258 0.624
Ga15 0.742 0.742 0.376
Ga16 0.742 0.742 0.624



Entry 7:
A plane-wave DFT calculation with GGA-PBE was carried out for a relaxed HoZn5Ga2 crystal.

Summary:
Energy relative to the elements in eV/atom: -0.21
M_tot in μB per formula unit: 0.0

a b c (Å): 3.963 7.217 9.738
angles (deg): 90.00 90.00 90.00
Positions (direct):
Ho1 0.000 0.000 0.000
Ho2 0.500 0.500 0.500
Zn1 0.000 0.185 0.364
Zn2 0.000 0.185 0.636
Zn3 0.000 0.500 0.000
Zn4 0.000 0.815 0.364
Zn5 0.000 0.815 0.636
Zn6 0.500 0.000 0.500
Zn7 0.500 0.315 0.136
Zn8 0.500 0.315 0.864
Zn9 0.500 0.685 0.136
Zn10 0.500 0.685 0.864
Ga1 0.000 0.500 0.260
Ga2 0.000 0.500 0.740
Ga3 0.500 0.000 0.240
Ga4 0.500 0.000 0.760



Entry 8:
A plane-wave DFT calculation with GGA-PBE was carried out for a relaxed Ho3ZnGa3 crystal.

Summary:
Energy relative to the elements in eV/atom: -0.60
M_tot in μB per formula unit: 0.0

a b c (Å): 5.765 5.765 14.080
angles (deg): 108.53 108.53 44.49
Positions (direct):
Ho1 0.038 0.038 0.381
Ho2 0.102 0.102 0.921
Ho3 0.243 0.243 0.221
Ho4 0.757 0.757 0.779
Ho5 0.898 0.898 0.079
Ho6 0.962 0.962 0.619
Zn1 0.254 0.254 0.607
Zn2 0.746 0.746 0.393
Ga1 0.370 0.370 0.454
Ga2 0.387 0.387 0.926
Ga3 0.466 0.466 0.768
Ga4 0.534 0.534 0.232
Ga5 0.613 0.613 0.074
Ga6 0.630 0.630 0.546



Entry 9:
A plane-wave DFT calculation with GGA-PBE was carried out for a relaxed HoZn3Ga2 crystal.

Summary:
Energy relative to the elements in eV/atom: -0.30
Energy relative to the lowest polymorph listed for this composition in kJ per mole of atoms: 0.5
M_tot in μB per formula unit: 0.0

a b c (Å): 7.969 7.969 7.543
angles (deg): 118.21 118.21 31.61
Positions (direct):
Ho1 0.133 0.133 0.133
Ho2 0.867 0.867 0.867
Zn1 0.000 0.000 0.338
Zn2 0.000 0.000 0.662
Zn3 0.325 0.325 0.118
Zn4 0.325 0.325 0.531
Zn5 0.675 0.675 0.469
Zn6 0.675 0.675 0.882
Ga1 0.187 0.187 0.687
Ga2 0.500 0.500 0.164
Ga3 0.500 0.500 0.836
Ga4 0.813 0.813 0.313



Entry 10:
A plane-wave DFT calculation with GGA-PBE was carried out for a relaxed HoZn2Ga2 crystal.

Summary:
Energy relative to the elements in eV/atom: -0.41
M_tot in μB per formula unit: 0.0

a b c (Å): 4.143 4.143 10.655
angles (deg): 90.00 90.00 90.00
Positions (direct):
Ho1 0.250 0.250 0.249
Ho2 0.750 0.750 0.751
Zn1 0.250 0.250 0.639
Zn2 0.250 0.750 0.000
Zn3 0.750 0.250 0.000
Zn4 0.750 0.750 0.361
Ga1 0.250 0.250 0.863
Ga2 0.250 0.750 0.500
Ga3 0.750 0.250 0.500
Ga4 0.750 0.750 0.137



Entry 11:
A plane-wave DFT calculation with GGA-PBE was carried out for a relaxed HoZnGa2 crystal.

Summary:
Energy relative to the elements in eV/atom: -0.46
M_tot in μB per formula unit: 0.0

a b c (Å): 4.246 4.246 4.202
angles (deg): 90.00 90.00 90.00
Positions (direct):
Ho1 0.000 0.000 0.000
Zn1 0.500 0.500 0.000
Ga1 0.000 0.500 0.500
Ga2 0.500 0.000 0.500



Entry 12:
A plane-wave DFT calculation with GGA-PBE was carried out for a relaxed Ho2ZnGa6 crystal.

Summary:
Energy relative to the elements in eV/atom: -0.27
M_tot in μB per formula unit: 0.0

a b c (Å): 8.441 8.441 3.317
angles (deg): 96.79 96.79 51.78
Positions (direct):
Ho1 0.201 0.201 0.012
Ho2 0.799 0.799 0.988
Zn1 0.500 0.500 0.500
Ga1 0.177 0.537 0.546
Ga2 0.180 0.820 0.000
Ga3 0.463 0.823 0.454
Ga4 0.537 0.177 0.546
Ga5 0.820 0.180 0.000
Ga6 0.823 0.463 0.454